(1)
Material: LiZnNiPd
Method: DFT, GGA-PBE
State: relaxed

Summary:
excess energy over the best structure of this formula in the dataset = 79 meV/atom
space-group type = F-43m (216)

Structure (POSCAR):
```
LiZnNiPd
1.0
0.000 2.976 2.976
2.976 0.000 2.976
2.976 2.976 0.000
Li Zn Ni Pd
1 1 1 1
Direct
0.000 0.000 0.000 Li
0.250 0.250 0.250 Zn
0.750 0.750 0.750 Ni
0.500 0.500 0.500 Pd
```

(2)
Material: BaBe2Cu
Method: DFT, GGA-PBE
State: relaxed

Summary:
raw total energy = -2.43 eV/atom
space-group type = F-43m (216)

Structure (POSCAR):
```
BaBe2Cu
1.0
0.000 3.422 3.422
3.422 0.000 3.422
3.422 3.422 0.000
Ba Be Cu
1 2 1
Direct
0.000 0.000 0.000 Ba
0.250 0.250 0.250 Be
0.500 0.500 0.500 Be
0.750 0.750 0.750 Cu
```

(3)
Material: TbHfAl2Au4
Method: DFT, GGA-PBE
State: relaxed

Summary:
raw total energy = -5.03 eV/atom
space-group type = P-6m2 (187)

Structure (POSCAR):
```
TbHfAl2Au4
1.0
4.529 0.000 0.000
-2.265 3.922 0.000
0.000 0.000 8.781
Tb Hf Al Au
1 1 2 4
Direct
0.000 0.000 0.000 Tb
0.667 0.333 0.500 Hf
0.333 0.667 0.301 Al
0.333 0.667 0.699 Al
0.000 0.000 0.339 Au
0.000 0.000 0.661 Au
0.667 0.333 0.168 Au
0.667 0.333 0.832 Au
```